## Er5C (GGA-PBE)

Data for an optimized crystal structure of Er5C.

Calculated values
final energy	-3.763	eV/atom
size of the total moment	0.03	μB/cell

Cell lengths 6.1004, 6.1004, 5.8840 Å; angles 90.00, 90.00, 120.00 degrees
Last column: nearest neighbours and their distance in Å.
Space group P6/mmm (No. 191)
One atom of each set of equivalent atoms:
Er1 0.0000 0.5000 0.0000 x3  4 Er 3.05
Er2 0.3333 0.6667 0.5000 x2  9 Er 3.43-3.52, 3 C 3.52
C1 0.0000 0.0000 0.5000 x1  6 Er 3.52

***

## Y2ErMg3CdGa2 (GGA-PBE)

Data for an optimized crystal structure of Y2ErMg3CdGa2.

Calculated values
final energy	-3.681	eV/atom
size of the total moment	0.02	μB/cell

Cell lengths 4.4533, 12.7245, 7.3755 Å; angles 90.00, 90.00, 90.00 degrees
Last column: nearest neighbours and their distance in Å.
Space group Amm2 (No. 38)
One atom of each set of equivalent atoms:
Y1 0.0000 0.2159 0.0000 x4  4 Ga 3.12, 1 Cd 3.18, 2 Mg 3.23
Er1 0.0000 0.0000 0.6482 x2  4 Ga 3.11, 1 Cd 3.17, 2 Mg 3.24
Mg1 0.5000 0.0000 0.9672 x2  2 Ga 2.81, 2 Cd 2.90
Mg2 0.5000 0.1245 0.3411 x4  2 Ga 2.81-2.82, 2 Cd 2.88
Cd1 0.0000 0.0000 0.2185 x2  6 Mg 2.88-2.90, 1 Er 3.17, 2 Y 3.18
Ga1 0.5000 0.1657 0.7157 x4  3 Mg 2.81-2.82, 2 Er 3.11, 4 Y 3.12

***

## YErZr2Ge2 (GGA-PBE)

Data for an optimized crystal structure of YErZr2Ge2.

Calculated values
final energy	-6.946	eV/atom
size of the total moment	0.01	μB/cell

Cell lengths 4.1877, 4.1877, 7.9014 Å; angles 90.00, 90.00, 90.00 degrees
Last column: nearest neighbours and their distance in Å.
Space group P4mm (No. 99)
One atom of each set of equivalent atoms:
Y1 0.0000 0.0000 0.0000 x1  5 Ge 3.04
Er1 0.5000 0.5000 0.3034 x1  5 Ge 3.03-3.07
Zr1 0.0000 0.5000 0.6493 x2  4 Ge 2.96, 4 Zr 2.96
Ge1 0.0000 0.0000 0.3846 x1  4 Zr 2.96, 4 Er 3.03, 1 Y 3.04
Ge2 0.5000 0.5000 0.9147 x1  4 Zr 2.96, 4 Y 3.04, 1 Er 3.07